Entry 1:
Compound: Cu2PdPt5
Source: Alexandria via LeMat-Bulk
Functional: PBE
Structure: optimized geometry

Summary:
- E_tot (eV per atom) = -5.566
- polymorph energy (0 for the lowest one) (eV/atom) = 0.000
- E_form (eV/atom) = -0.117

a b c (Å): 5.5579 11.1033 3.8371
angles (deg): 90.00 90.00 90.00
Closest atoms and distances in Å follow each position.
Space group Pbam (No. 55)
One atom of each set of equivalent atoms:
1 Cu 0.2475 0.1244 0.0000 (multiplicity 4)  2 Pd 2.73, 10 Pt 2.74-2.78
2 Pd 0.0000 0.0000 0.5000 (multiplicity 2)  4 Cu 2.73, 8 Pt 2.76-2.79
3 Pt 0.0000 0.5000 0.5000 (multiplicity 2)  6 Pt 2.75-2.77, 4 Cu 2.75, 2 Pd 2.78
4 Pt 0.0041 0.7492 0.5000 (multiplicity 4)  7 Pt 2.74-2.78, 4 Cu 2.74-2.76, 1 Pd 2.79
5 Pt 0.2477 0.3739 0.0000 (multiplicity 4)  6 Pt 2.74-2.75, 2 Pd 2.76, 4 Cu 2.77-2.78

---

Entry 2:
Compound: Cu6Pd12Pt
Source: Alexandria via LeMat-Bulk
Functional: PBE
Structure: optimized geometry

Summary:
- E_tot (eV per atom) = -4.823
- polymorph energy (0 for the lowest one) (eV/atom) = 0.136
- E_form (eV/atom) = 0.068

a b c (Å): 10.6899 10.6899 8.7359
angles (deg): 90.00 90.00 120.00
Closest atoms and distances in Å follow each position.
Space group R-3m (No. 166, hexagonal axes)
One atom of each set of equivalent atoms:
1 Cu 0.0830 0.1661 0.2517 (multiplicity 18)  1 Pt 2.66, 2 Cu 2.66, 7 Pd 2.72-2.76
2 Pd 0.0000 0.2620 0.5000 (multiplicity 18)  4 Cu 2.72-2.73, 6 Pd 2.72-2.83, 1 Pt 2.80
3 Pd 0.0768 0.5384 0.6172 (multiplicity 18)  5 Pd 2.49-2.72, 3 Cu 2.73-2.76
4 Pt 0.0000 0.0000 0.5000 (multiplicity 3)  6 Cu 2.66, 6 Pd 2.80

---

The lowest polymorph energy (0 for the lowest one) belongs to which entry? Cu2PdPt5

---

Among the records above, which one has the lowest E_tot? Cu2PdPt5

---

What did the second record say?
Compound: Cu6Pd12Pt
Source: Alexandria via LeMat-Bulk
Functional: PBE
Structure: optimized geometry

Summary:
- E_tot (eV per atom) = -4.823
- polymorph energy (0 for the lowest one) (eV/atom) = 0.136
- E_form (eV/atom) = 0.068

a b c (Å): 10.6899 10.6899 8.7359
angles (deg): 90.00 90.00 120.00
Closest atoms and distances in Å follow each position.
Space group R-3m (No. 166, hexagonal axes)
One atom of each set of equivalent atoms:
1 Cu 0.0830 0.1661 0.2517 (multiplicity 18)  1 Pt 2.66, 2 Cu 2.66, 7 Pd 2.72-2.76
2 Pd 0.0000 0.2620 0.5000 (multiplicity 18)  4 Cu 2.72-2.73, 6 Pd 2.72-2.83, 1 Pt 2.80
3 Pd 0.0768 0.5384 0.6172 (multiplicity 18)  5 Pd 2.49-2.72, 3 Cu 2.73-2.76
4 Pt 0.0000 0.0000 0.5000 (multiplicity 3)  6 Cu 2.66, 6 Pd 2.80